VASP calculation (PBE with a Hubbard U) on YCoF2 after structural relaxation.

Cell: 6.3300 6.3300 6.3300 Å, 33.45 33.45 33.45°
Last column: nearest neighbours and their distance in Å.
Atoms (fractional coordinates):
Y  0.0000  0.0000  0.0000  2 F 2.19
Co  0.5000  0.5000  0.5000  6 F 2.25
F  0.8777  0.8777  0.8777  1 Y 2.19, 3 Co 2.25
F  0.1223  0.1223  0.1223  1 Y 2.19, 3 Co 2.25

Results
Magnetization in μB/atom: 0.50
DFT total energy in eV/atom: -5.51